11
Lattice="-3.7106 2.2002 -3.2178 -4.4421 -5.1676 1.5891 1.2182 5.8784 7.1151" Properties=species:S:1:pos:R:3 comment="PBE-GGA Pm8Ga2Os, relaxed" formation_energy_ev_per_atom=-0.189 sg=Immm dos_at_fermi_per_ev_atom=1.00 crystal_system=orthorhombic de_polymorph_ev_per_atom=0.0419 pbc="T T T"
Pm -5.8587 -1.5596 1.1890
Pm -3.1614 2.0442 5.0433
Pm -5.8387 4.1856 5.0943
Pm -1.0758 4.4706 4.2973
Pm -1.1299 1.7375 2.4909
Pm -1.0958 -1.2747 0.3921
Pm -3.7731 0.8668 0.4431
Pm -5.8046 1.1735 2.9954
Ga -3.6522 3.8630 2.3523
Ga -3.2824 -0.9521 3.1341
Os -1.8553 1.1001 -1.6089

=====

9
Lattice="5.0619 0.0000 -0.1943 0.0000 7.1507 0.0000 -2.2460 -3.5753 7.5832" Properties=species:S:1:pos:R:3 comment="PBE-GGA Pm6Ga2Os, relaxed" formation_energy_ev_per_atom=-0.183 sg=Immm dos_at_fermi_per_ev_atom=1.27 crystal_system=orthorhombic pbc="T T T"
Pm 2.5309 1.7006 -0.0972
Pm 0.0925 5.4037 2.3841
Pm 0.0925 1.7470 2.3841
Pm 2.7234 1.8283 5.0048
Pm 2.5309 5.4501 -0.0972
Pm 2.7234 -1.8283 5.0048
Os 0.0000 0.0000 0.0000
Ga 2.6275 3.5753 2.4057
Ga 0.1884 0.0000 4.9832

=====

8
Lattice="4.2526 0.0000 0.0000 2.1263 3.6828 0.0000 2.1263 1.2276 8.7501" Properties=species:S:1:pos:R:3 comment="PBE-GGA PmGa4OsRh2, relaxed" formation_energy_ev_per_atom=-0.516 sg=R-3m dos_at_fermi_per_ev_atom=0.50 crystal_system=trigonal pbc="T T T"
Rh 2.1263 1.2276 2.5367
Rh 6.3788 3.6828 6.2135
Ga 4.2526 2.4552 1.7960
Ga 2.1263 1.2276 5.2732
Ga 6.3788 3.6828 3.4769
Ga 4.2526 2.4552 6.9541
Pm 0.0000 0.0000 0.0000
Os 4.2526 2.4552 4.3751

=====

4
Lattice="-3.8229 0.6122 -1.6097 -2.1931 -3.2491 -1.4879 -4.1420 -1.6298 3.7563" Properties=species:S:1:pos:R:3 comment="PBE-GGA PmGaSiOs, relaxed" dft_energy_ev_per_atom=-6.549 sg=R3m dos_at_fermi_per_ev_atom=0.75 crystal_system=trigonal pbc="T T T"
Pm -7.1874 -3.0486 -0.4722
Os -4.3227 -1.8676 -1.3659
Si -2.4192 -1.0244 -0.1049
Ga -4.0019 -1.5806 3.4424

=====

4
Lattice="5.0491 0.0000 0.0000 2.5245 4.3726 0.0000 2.5245 1.4575 4.1225" Properties=species:S:1:pos:R:3 comment="PBE-GGA PmSmGaOs, relaxed" formation_energy_ev_per_atom=-0.230 sg=F-43m dos_at_fermi_per_ev_atom=0.62 crystal_system=cubic pbc="T T T"
Sm 5.0491 2.9151 2.0613
Pm 0.0000 0.0000 0.0000
Os 7.5736 4.3726 3.0919
Ga 2.5245 1.4575 1.0306

=====

4
Lattice="5.0063 0.0000 0.0000 2.5031 4.3356 0.0000 2.5031 1.4452 4.0876" Properties=species:S:1:pos:R:3 comment="PBE-GGA TbPmGaOs, relaxed" formation_energy_ev_per_atom=-0.273 sg=F-43m dos_at_fermi_per_ev_atom=0.64 crystal_system=cubic pbc="T T T"
Os 7.5094 4.3356 3.0657
Ga 2.5031 1.4452 1.0219
Pm 5.0063 2.8904 2.0438
Tb 0.0000 0.0000 0.0000

=====

4
Lattice="-0.2347 -4.1856 -0.3959 1.4979 0.2602 -3.6394 5.5389 1.5812 2.3929" Properties=species:S:1:pos:R:3 comment="PBE-GGA PmThGaOs, relaxed" formation_energy_ev_per_atom=-0.451 sg=Amm2 dos_at_fermi_per_ev_atom=0.92 crystal_system=orthorhombic de_polymorph_ev_per_atom=0.0000 pbc="T T T"
Ga 1.3645 -2.0319 -1.7209
Pm 1.5999 -0.1510 0.6477
Os 4.4921 -0.4239 1.8186
Th 4.6500 -2.3419 -0.3908

=====

4
Lattice="-0.8332 4.3469 2.5325 -4.0694 0.4390 3.0415 0.6047 0.1584 5.0609" Properties=species:S:1:pos:R:3 comment="PBE-GGA PmThGaOs, relaxed" formation_energy_ev_per_atom=-0.223 sg=F-43m dos_at_fermi_per_ev_atom=0.60 crystal_system=cubic de_polymorph_ev_per_atom=0.2279 pbc="T T T"
Pm 0.0000 0.0000 0.0000
Th -2.1489 2.4722 5.3174
Ga -1.0745 1.2361 2.6587
Os -3.2234 3.7082 7.9761

=====

10
Lattice="-0.8189 -0.5477 -3.9664 -2.5463 -6.4032 1.4101 -8.9052 3.8345 1.3089" Properties=species:S:1:pos:R:3 comment="PBE-GGA Pr3GaOs, relaxed" formation_energy_ev_per_atom=-0.196 sg=Pmmn dos_at_fermi_per_ev_atom=1.24 crystal_system=orthorhombic de_polymorph_ev_per_atom=0.0000 pbc="T T T"
Pr -7.4207 1.3863 0.2880
Pr -4.8497 -4.5028 -1.5353
Pr -5.1672 -0.2134 -2.0621
Pr -10.5584 -1.4151 1.3226
Pr -7.1032 -2.9031 0.8148
Pr -1.7120 -1.7014 -2.5699
Ga -3.6053 -2.1256 -0.0150
Ga -8.6651 -0.9909 -1.2323
Os -2.6627 0.2365 -0.5359
Os -9.6077 -3.3530 -0.7114

=====

11
Lattice="5.6421 0.1820 -0.8653 -1.7993 7.2993 -2.9838 0.1342 -0.0036 8.0872" Properties=species:S:1:pos:R:3 comment="PBE-GGA Pr8GaOs2, relaxed" formation_energy_ev_per_atom=-0.051 sg=Cm dos_at_fermi_per_ev_atom=1.10 crystal_system=monoclinic pbc="T T T"
Pr 0.7709 6.9142 2.3253
Pr 1.2716 5.0231 5.1923
Pr 3.4700 4.7135 2.5032
Pr 2.6975 2.4994 -0.9236
Pr -0.3405 1.7950 5.4106
Pr -1.3336 5.5460 -0.2758
Pr 0.4979 2.8087 1.7658
Pr 3.1982 0.6080 1.9437
Os 1.6188 5.1399 0.0452
Os 2.3486 2.3831 4.2244
Ga 5.6271 0.2050 -0.8475

=====

4
Lattice="-1.8817 2.5997 2.8334 -0.4861 -1.2559 4.0637 3.8353 2.5007 3.4867" Properties=species:S:1:pos:R:3 comment="PBE-GGA PrGa2Os, relaxed" formation_energy_ev_per_atom=-0.345 sg=R-3m dos_at_fermi_per_ev_atom=0.40 crystal_system=trigonal pbc="T T T"
Ga 1.6285 3.1177 7.9234
Ga -0.1610 0.7268 2.4604
Pr 0.7337 1.9222 5.1919
Os 0.0000 0.0000 0.0000

=====

3
Lattice="4.0599 0.0000 0.0000 0.0000 4.3381 0.0000 0.0000 -2.1690 3.7569" Properties=species:S:1:pos:R:3 comment="PBE-GGA PrGaOs, relaxed" formation_energy_ev_per_atom=-0.189 sg=P-6m2 dos_at_fermi_per_ev_atom=0.59 crystal_system=hexagonal pbc="T T T"
Pr 2.7064 2.1690 1.2523
Ga 0.6766 0.0000 0.0000
Os 0.6769 0.0000 2.5046